No. 1
This record from Alexandria via LeMat-Bulk describes a relaxed structure of PaGaSn2. The functional is GGA-PBE.

POSCAR file:
```
PaGaSn2
1.0
2.4315 1.4038 4.8630
-2.4315 1.4038 4.8630
0.0000 -2.8077 4.8630
Pa Ga Sn
1 1 2
Cartesian
0.0000 0.0000 0.0000
0.0000 0.0000 7.2944
0.0000 0.0000 3.3556
0.0000 0.0000 11.2333
```

Properties
E above lowest polymorph = 400 meV/atom
E_tot = -5.07 eV/atom
Spin magnetization = 0.002 Bohr magnetons per cell

***

No. 2
This record from Alexandria via LeMat-Bulk describes a relaxed structure of PaGaSn2. The functional is GGA-PBE.

POSCAR file:
```
PaGaSn2
1.0
3.8708 0.0000 0.0000
0.0000 3.8708 0.0000
0.0000 0.0000 6.4254
Pa Ga Sn
1 1 2
Cartesian
0.0000 0.0000 0.0000
0.0000 0.0000 3.2127
1.9354 1.9354 1.7401
1.9354 1.9354 4.6853
```

Properties
E above lowest polymorph = 214 meV/atom
E_tot = -5.25 eV/atom
Spin magnetization = 0.000 Bohr magnetons per cell

***

No. 3
This record from Alexandria via LeMat-Bulk describes a relaxed structure of PaGa2Sn2. The functional is GGA-PBE.

POSCAR file:
```
PaGa2Sn2
1.0
4.8677 0.0000 0.0000
-2.4338 4.2155 0.0000
0.0000 0.0000 12.2499
Pa Ga Sn
2 4 4
Cartesian
0.0000 0.0000 3.0625
0.0000 0.0000 9.1874
0.0000 0.0000 0.0000
0.0000 0.0000 6.1250
0.0000 2.8104 3.0625
2.4338 1.4052 9.1874
0.0000 2.8104 7.4697
0.0000 2.8104 10.9052
2.4338 1.4052 1.3448
2.4338 1.4052 4.7802
```

Properties
E_tot = -4.67 eV/atom
Spin magnetization = 0.002 Bohr magnetons per cell

***

No. 4
This record from Alexandria via LeMat-Bulk describes a relaxed structure of PaGaSn. The functional is GGA-PBE.

POSCAR file:
```
PaGaSn
1.0
4.9593 -2.2294 0.0000
4.9593 2.2294 0.0000
-0.0055 0.0000 6.2506
Pa Ga Sn
2 2 2
Cartesian
0.0000 0.0000 0.0000
-0.0028 0.0000 3.1253
3.4544 0.0000 4.6864
6.4587 0.0000 1.5642
3.1715 0.0000 1.5608
6.7416 0.0000 4.6898
```

Properties
E above lowest polymorph = 0 meV/atom
E_tot = -5.72 eV/atom
Spin magnetization = 1.464 Bohr magnetons per cell

***

No. 5
This record from Alexandria via LeMat-Bulk describes a relaxed structure of PaGaTcSn. The functional is GGA-PBE.

POSCAR file:
```
PaGaTcSn
1.0
0.0000 3.4224 3.4224
3.4224 0.0000 3.4224
3.4224 3.4224 0.0000
Pa Ga Tc Sn
1 1 1 1
Cartesian
0.0000 0.0000 0.0000
1.7112 1.7112 1.7112
5.1335 5.1335 5.1335
3.4224 3.4224 3.4224
```

Properties
E_tot = -6.78 eV/atom
Spin magnetization = 0.000 Bohr magnetons per cell

***

No. 6
This record from Alexandria via LeMat-Bulk describes a relaxed structure of TmPaGaSn. The functional is GGA-PBE.

POSCAR file:
```
TmPaGaSn
1.0
0.0000 3.6606 3.6606
3.6606 0.0000 3.6606
3.6606 3.6606 0.0000
Tm Pa Ga Sn
1 1 1 1
Cartesian
0.0000 0.0000 0.0000
3.6606 3.6606 3.6606
1.8303 1.8303 1.8303
5.4909 5.4909 5.4909
```

Properties
E_tot = -5.50 eV/atom
Spin magnetization = 1.677 Bohr magnetons per cell